(1)
Entry from Alexandria: Zn3Co after structural relaxation (PBE).

Cell: 4.7445 8.4958 5.2599 Å, 90.00 90.00 90.00°
Atoms (fractional coordinates):
Zn  0.0591  0.2500  0.1181
Zn  0.2339  0.5093  0.3717
Zn  0.2339  0.9907  0.3717
Zn  0.2661  0.0093  0.8717
Zn  0.2661  0.4907  0.8717
Zn  0.4409  0.7500  0.6181
Zn  0.5591  0.2500  0.3819
Zn  0.7339  0.5093  0.1283
Zn  0.7339  0.9907  0.1283
Zn  0.7661  0.0093  0.6283
Zn  0.7661  0.4907  0.6283
Zn  0.9409  0.7500  0.8819
Co  0.0894  0.2500  0.6244
Co  0.4106  0.7500  0.1244
Co  0.5894  0.2500  0.8756
Co  0.9106  0.7500  0.3756

Energy (eV/atom): -2.73



(2)
Entry from Alexandria: Zn5Co after structural relaxation (PBE).

Cell: 6.0880 6.0880 3.7548 Å, 90.00 90.00 144.22°
Atoms (fractional coordinates):
Zn  0.0000  0.0000  0.0000
Zn  0.1600  0.8400  0.5000
Zn  0.3389  0.6611  0.0000
Zn  0.6611  0.3389  0.0000
Zn  0.8400  0.1600  0.5000
Co  0.5000  0.5000  0.5000

Energy (eV/atom): -2.27



(3)
Entry from Alexandria: ZnCo after structural relaxation (PBE).

Cell: 4.1099 4.1099 4.1099 Å, 60.00 60.00 60.00°
Atoms (fractional coordinates):
Zn  0.1250  0.1250  0.1250
Zn  0.8750  0.8750  0.8750
Co  0.3750  0.3750  0.3750
Co  0.6250  0.6250  0.6250

Energy (eV/atom): -4.15



(4)
Entry from Alexandria: ZnCo3 after structural relaxation (PBE).

Cell: 4.4318 8.2619 5.0139 Å, 90.00 90.00 90.00°
Atoms (fractional coordinates):
Zn  0.0674  0.2500  0.1243
Zn  0.4326  0.7500  0.6243
Zn  0.5674  0.2500  0.3757
Zn  0.9326  0.7500  0.8757
Co  0.0724  0.2500  0.6325
Co  0.2399  0.5048  0.3742
Co  0.2399  0.9952  0.3742
Co  0.2601  0.0048  0.8742
Co  0.2601  0.4952  0.8742
Co  0.4276  0.7500  0.1325
Co  0.5724  0.2500  0.8675
Co  0.7399  0.5048  0.1258
Co  0.7399  0.9952  0.1258
Co  0.7601  0.0048  0.6258
Co  0.7601  0.4952  0.6258
Co  0.9276  0.7500  0.3675

Energy (eV/atom): -5.60



(5)
Entry from Alexandria: ZnCo3 after structural relaxation (PBE).

Cell: 4.5407 4.5407 4.5407 Å, 90.00 90.00 90.00°
Atoms (fractional coordinates):
Zn  0.0000  0.0000  0.0000
Zn  0.5000  0.5000  0.5000
Co  0.0000  0.2500  0.5000
Co  0.0000  0.7500  0.5000
Co  0.2500  0.5000  0.0000
Co  0.5000  0.0000  0.2500
Co  0.5000  0.0000  0.7500
Co  0.7500  0.5000  0.0000

Energy (eV/atom): -5.54



(6)
Entry from Alexandria: Zn3Co after structural relaxation (PBE).

Cell: 5.0387 5.0387 5.0387 Å, 149.25 64.01 125.36°
Atoms (fractional coordinates):
Zn  0.0000  0.0000  0.0000
Zn  0.4159  0.6572  0.7588
Zn  0.8984  0.6572  0.2412
Co  0.4853  0.9853  0.5000

Energy (eV/atom): -2.74



(7)
Entry from Alexandria: ZnCo2 after structural relaxation (PBE).

Cell: 4.7246 4.7246 4.7246 Å, 60.00 60.00 60.00°
Atoms (fractional coordinates):
Zn  0.1250  0.1250  0.1250
Zn  0.8750  0.8750  0.8750
Co  0.0000  0.5000  0.5000
Co  0.5000  0.0000  0.5000
Co  0.5000  0.5000  0.0000
Co  0.5000  0.5000  0.5000

Energy (eV/atom): -5.03



(8)
Entry from Alexandria: ZnCo3 after structural relaxation (PBE).

Cell: 2.5521 2.5521 8.2033 Å, 90.00 90.00 120.00°
Atoms (fractional coordinates):
Zn  0.0000  0.0000  0.0000
Co  0.0000  0.0000  0.5000
Co  0.6667  0.3333  0.2620
Co  0.6667  0.3333  0.7380

Energy (eV/atom): -5.62



(9)
Entry from Alexandria: ZnCo after structural relaxation (PBE).

Cell: 2.6004 2.6004 8.3396 Å, 90.00 90.00 120.00°
Atoms (fractional coordinates):
Zn  0.0000  0.0000  0.0000
Zn  0.0000  0.0000  0.5000
Co  0.3333  0.6667  0.2500
Co  0.6667  0.3333  0.7500

Energy (eV/atom): -4.15



(10)
Entry from Alexandria: Zn3Co after structural relaxation (PBE).

Cell: 2.7650 4.1866 4.5323 Å, 90.00 90.00 90.00°
Atoms (fractional coordinates):
Zn  0.0000  0.0000  0.0000
Zn  0.0000  0.5000  0.3527
Zn  0.5000  0.0000  0.5239
Co  0.5000  0.5000  0.8533

Energy (eV/atom): -2.73



(11)
Entry from Alexandria: ZnCo5 after structural relaxation (PBE).

Cell: 4.3579 4.3579 4.1110 Å, 90.00 90.00 120.00°
Atoms (fractional coordinates):
Zn  0.0000  0.0000  0.0000
Co  0.0000  0.6636  0.5000
Co  0.3333  0.6667  0.0000
Co  0.3364  0.3364  0.5000
Co  0.6636  0.0000  0.5000
Co  0.6667  0.3333  0.0000

Energy (eV/atom): -6.12



(12)
Entry from Alexandria: Zn2Co after structural relaxation (PBE).

Cell: 2.6672 2.6672 6.4101 Å, 90.00 90.00 120.00°
Atoms (fractional coordinates):
Zn  0.3333  0.6667  0.3181
Zn  0.6667  0.3333  0.6819
Co  0.0000  0.0000  0.0000

Energy (eV/atom): -3.17



- Look up the energy of the fifth one.
  -5.54 eV/atom